First-principles (PBE) data for Ce3IrN after structural relaxation, as listed in Alexandria.

Properties
M_tot = 0.16 Bohr magnetons per cell
E = -78.07 eV/cell
crystal system = monoclinic
ΔE_f (raw) = -0.809 eV per atom

a = 7.759 Å, b = 3.642 Å, c = 7.773 Å
α = 90.00°, β = 105.28°, γ = 90.00°
Space group P2/m (No. 10)
Symmetry-distinct sites (fractional):
1 Ce 0.072 0.000 0.314 x2
2 Ce 0.313 0.000 0.072 x2
3 Ce 0.328 0.500 0.673 x2
4 Ir 0.000 0.500 0.000 x1
5 Ir 0.500 0.000 0.500 x1
6 N 0.000 0.500 0.500 x1
7 N 0.500 0.500 0.000 x1